Compound: Er3CuS6
Source: Alexandria
Functional: PBE
Structure: optimized geometry

The structure in CIF format:
```
data_Er3CuS6
_cell_length_a 10.656
_cell_length_b 12.487
_cell_length_c 6.554
_cell_angle_alpha 90.00
_cell_angle_beta 90.00
_cell_angle_gamma 90.00
_symmetry_space_group_name_H-M 'C m c 21'
_symmetry_Int_Tables_number 36
loop_
_symmetry_equiv_pos_as_xyz
'x,y,z'
'-x,-y,z+1/2'
'-x,y,z'
'x,-y,z+1/2'
'x+1/2,y+1/2,z'
'-x+1/2,-y+1/2,z+1/2'
'-x+1/2,y+1/2,z'
'x+1/2,-y+1/2,z+1/2'
loop_
_atom_site_label
_atom_site_type_symbol
_atom_site_fract_x
_atom_site_fract_y
_atom_site_fract_z
Er1 Er 0.000 0.104 0.000
Er2 Er 0.182 0.401 0.911
Cu1 Cu 0.000 0.297 0.368
S1 S 0.000 0.285 0.716
S2 S 0.000 0.462 0.211
S3 S 0.161 0.032 0.704
S4 S 0.170 0.237 0.195
```

Results
Density, g/cm3: 5.8
DFT total energy, eV for the cell shown: -228.94


Compound: ErCuS
Source: Alexandria
Functional: PBE
Structure: optimized geometry

The structure in CIF format:
```
data_ErCuS
_cell_length_a 4.3660
_cell_length_b 4.3660
_cell_length_c 22.4784
_cell_angle_alpha 90.00
_cell_angle_beta 90.00
_cell_angle_gamma 120.00
_symmetry_space_group_name_H-M 'R -3 m'
_symmetry_Int_Tables_number 166
_symmetry_space_group_name_Hall '-R 3 2"'
loop_
_atom_site_label
_atom_site_type_symbol
_atom_site_fract_x
_atom_site_fract_y
_atom_site_fract_z
Er1 Er 0.0000 0.0000 0.0838
Cu1 Cu 0.0000 0.0000 0.3276
S1 S 0.0000 0.0000 0.2138
```

Results
Density, g/cm3: 7.1
DFT total energy, eV for the cell shown: -96.29


Compound: Er2CuS
Source: Alexandria
Functional: PBE
Structure: optimized geometry

The structure in CIF format:
```
data_Er2CuS
_cell_length_a 3.867
_cell_length_b 22.214
_cell_length_c 3.895
_cell_angle_alpha 90.00
_cell_angle_beta 90.00
_cell_angle_gamma 90.00
_symmetry_space_group_name_H-M 'C m c m'
_symmetry_Int_Tables_number 63
_symmetry_space_group_name_Hall '-C 2c 2'
loop_
_atom_site_label
_atom_site_type_symbol
_atom_site_fract_x
_atom_site_fract_y
_atom_site_fract_z
Er1 Er 0.000 0.070 0.250
Er2 Er 0.000 0.315 0.250
Cu1 Cu 0.000 0.462 0.250
S1 S 0.000 0.193 0.250
```

Results
Density, g/cm3: 8.5
DFT total energy, eV for the cell shown: -87.64
Polymorph energy (0 for the lowest one), eV/atom: 0.000


Compound: Er2CuS
Source: Alexandria
Functional: PBE
Structure: optimized geometry

The structure in CIF format:
```
data_Er2CuS
_cell_length_a 3.5982
_cell_length_b 3.5982
_cell_length_c 26.6544
_cell_angle_alpha 90.00
_cell_angle_beta 90.00
_cell_angle_gamma 120.00
_symmetry_space_group_name_H-M 'R -3 m'
_symmetry_Int_Tables_number 166
_symmetry_space_group_name_Hall '-R 3 2"'
loop_
_atom_site_label
_atom_site_type_symbol
_atom_site_fract_x
_atom_site_fract_y
_atom_site_fract_z
Er1 Er 0.0000 0.0000 0.1040
Cu1 Cu 0.0000 0.0000 0.0000
S1 S 0.0000 0.0000 0.5000
```

Results
Density, g/cm3: 7.2
DFT total energy, eV for the cell shown: -57.32
Polymorph energy (0 for the lowest one), eV/atom: 0.701


Question: density of number 4 (Er2CuS)?
Answer: 7.2 g/cm3


Question: Number 2 is which compound?
Answer: ErCuS


Question: What is the formula in the third record?
Answer: Er2CuS


Question: Among the records above, which one has the highest DFT total energy?
Answer: number 4